! PBE CdH12O7, optimized geometry; values from VASP
&SYSTEM
  ibrav = 0, nat = 20, ntyp = 3
/
ATOMIC_SPECIES
Cd 112.41 Cd.upf
H 1.01 H.upf
O 16.00 O.upf
ATOMIC_POSITIONS angstrom
Cd 0.0000 0.0000 0.0000
H -1.2038 -0.6493 4.6277
H -1.5549 -0.0001 6.8467
H -0.7773 -1.3467 7.6181
H 1.1642 -0.7179 4.6277
H 0.0396 1.3672 4.6277
H 0.7776 -1.3465 6.8467
H -0.7776 1.3465 7.6181
H -0.0396 -1.3672 9.8371
H -1.1642 0.7179 9.8371
H 0.7773 1.3467 6.8467
H 1.5549 0.0001 7.6181
H 1.2038 0.6493 9.8371
O -2.5769 -0.0406 6.5840
O -1.2533 -2.2520 7.8808
O 1.3236 -2.2114 6.5840
O 0.0000 0.0000 7.2324
O -1.3236 2.2114 7.8808
O 1.2533 2.2520 6.5840
O 2.5769 0.0406 7.8808
CELL_PARAMETERS angstrom
2.9249 1.6887 4.8216
-2.9249 1.6887 4.8216
0.0000 -3.3774 4.8216
! **Crystal system**: trigonal
! **M_tot**: 0.1 μB/cell
! **Calculated volume**: 7.1 Å³ per atom
! **VASP energy**: -4.070 eV/atom